No. 1
VASP calculation (PBE) on Y2Be4GaPt3 after structural relaxation.

Values from the calculation:
Formation energy from the elements (meV per atom): -765
Crystal system: tetragonal
Space-group type: P-4m2
E_tot (eV/atom): -5.6635

a b c (Å): 3.987 3.987 9.727
angles (deg): 90.00 90.00 90.00
Fractional coordinates of all 10 atoms:
1 Pt 0.500 0.000 0.879
2 Pt 0.000 0.000 0.500
3 Be 0.000 0.500 0.363
4 Y 0.000 0.500 0.752
5 Be 0.000 0.000 0.000
6 Ga 0.500 0.500 0.500
7 Be 0.500 0.500 0.000
8 Pt 0.000 0.500 0.121
9 Be 0.500 0.000 0.637
10 Y 0.500 0.000 0.248

---

No. 2
VASP calculation (PBE) on Y2BeGa3Pt4 after structural relaxation.

Values from the calculation:
Formation energy from the elements (meV per atom): -906
Crystal system: tetragonal
Space-group type: P-4m2
E_tot (eV/atom): -5.8954

a b c (Å): 4.094 4.094 10.755
angles (deg): 90.00 90.00 90.00
Fractional coordinates of all 10 atoms:
1 Pt 0.000 0.000 0.000
2 Ga 0.000 0.500 0.140
3 Pt 0.000 0.500 0.371
4 Pt 0.500 0.500 0.000
5 Pt 0.500 0.000 0.629
6 Y 0.000 0.500 0.740
7 Ga 0.500 0.000 0.860
8 Be 0.500 0.500 0.500
9 Ga 0.000 0.000 0.500
10 Y 0.500 0.000 0.260

---

No. 3
VASP calculation (PBE) on Y3Be2GaPt9 after structural relaxation.

Values from the calculation:
Formation energy from the elements (meV per atom): -842
Crystal system: trigonal
Space-group type: P-3m1
E_tot (eV/atom): -6.4578

a b c (Å): 5.745 5.745 9.447
angles (deg): 90.00 90.00 120.00
Fractional coordinates of all 15 atoms:
1 Y 0.333 0.667 0.606
2 Be 0.333 0.667 0.152
3 Pt 0.165 0.835 0.300
4 Pt 0.670 0.835 0.300
5 Pt 0.330 0.165 0.700
6 Pt 0.165 0.330 0.300
7 Y 0.667 0.333 0.394
8 Pt 0.500 0.500 0.000
9 Pt 0.500 0.000 0.000
10 Pt 0.835 0.670 0.700
11 Be 0.667 0.333 0.848
12 Y 0.000 0.000 0.000
13 Ga 0.000 0.000 0.500
14 Pt 0.000 0.500 0.000
15 Pt 0.835 0.165 0.700

---

No. 4
VASP calculation (PBE) on YBeGaPt3 after structural relaxation.

Values from the calculation:
Formation energy from the elements (meV per atom): -759
Crystal system: orthorhombic
Space-group type: Cmcm
E_tot (eV/atom): -5.9824

a b c (Å): 5.601 6.233 6.787
angles (deg): 117.34 90.00 90.00
Fractional coordinates of all 12 atoms:
1 Pt 0.500 0.275 0.000
2 Pt 0.000 0.725 0.000
3 Y 0.250 0.720 0.440
4 Y 0.750 0.280 0.560
5 Ga 0.750 0.635 0.269
6 Pt 0.250 0.166 0.333
7 Pt 0.500 0.725 0.000
8 Be 0.750 0.027 0.054
9 Be 0.250 0.973 0.946
10 Pt 0.000 0.275 0.000
11 Pt 0.750 0.834 0.667
12 Ga 0.250 0.365 0.731

---

No. 5
VASP calculation (PBE) on YBeGa2Pt4 after structural relaxation.

Values from the calculation:
Formation energy from the elements (meV per atom): -853
Crystal system: trigonal
Space-group type: R-3m
E_tot (eV/atom): -5.9038

a b c (Å): 4.282 4.282 8.630
angles (deg): 75.64 75.64 60.00
Fractional coordinates of all 8 atoms:
1 Ga 0.754 0.754 0.737
2 Pt 0.406 0.406 0.781
3 Pt 0.594 0.594 0.219
4 Ga 0.246 0.246 0.263
5 Y 0.000 0.000 0.000
6 Pt 0.137 0.137 0.589
7 Be 0.500 0.500 0.500
8 Pt 0.863 0.863 0.411

---

No. 6
VASP calculation (PBE) on YBe2GaPt after structural relaxation.

Values from the calculation:
Formation energy from the elements (meV per atom): 287
Crystal system: tetragonal
Space-group type: P4/mmm
E_tot (eV/atom): -4.3097

a b c (Å): 4.175 5.559 4.175
angles (deg): 90.00 90.00 90.00
Fractional coordinates of all 5 atoms:
1 Y 0.000 0.500 0.000
2 Be 0.000 0.000 0.500
3 Pt 0.500 0.500 0.500
4 Ga 0.000 0.000 0.000
5 Be 0.500 0.000 0.000

---

What did the second record say?
VASP calculation (PBE) on Y2BeGa3Pt4 after structural relaxation.

Values from the calculation:
Formation energy from the elements (meV per atom): -906
Crystal system: tetragonal
Space-group type: P-4m2
E_tot (eV/atom): -5.8954

a b c (Å): 4.094 4.094 10.755
angles (deg): 90.00 90.00 90.00
Fractional coordinates of all 10 atoms:
1 Pt 0.000 0.000 0.000
2 Ga 0.000 0.500 0.140
3 Pt 0.000 0.500 0.371
4 Pt 0.500 0.500 0.000
5 Pt 0.500 0.000 0.629
6 Y 0.000 0.500 0.740
7 Ga 0.500 0.000 0.860
8 Be 0.500 0.500 0.500
9 Ga 0.000 0.000 0.500
10 Y 0.500 0.000 0.260

---

Question: What is the formula in the first record?
Answer: Y2Be4GaPt3

---

Question: The highest formation energy from the elements belongs to which entry?
Answer: YBe2GaPt

---

What did the fourth record say?
VASP calculation (PBE) on YBeGaPt3 after structural relaxation.

Values from the calculation:
Formation energy from the elements (meV per atom): -759
Crystal system: orthorhombic
Space-group type: Cmcm
E_tot (eV/atom): -5.9824

a b c (Å): 5.601 6.233 6.787
angles (deg): 117.34 90.00 90.00
Fractional coordinates of all 12 atoms:
1 Pt 0.500 0.275 0.000
2 Pt 0.000 0.725 0.000
3 Y 0.250 0.720 0.440
4 Y 0.750 0.280 0.560
5 Ga 0.750 0.635 0.269
6 Pt 0.250 0.166 0.333
7 Pt 0.500 0.725 0.000
8 Be 0.750 0.027 0.054
9 Be 0.250 0.973 0.946
10 Pt 0.000 0.275 0.000
11 Pt 0.750 0.834 0.667
12 Ga 0.250 0.365 0.731